[1]
# FeAs2WSe

FeAs2WSe at its PBEsol-relaxed geometry (meta-GGA SCAN, Alexandria via LeMat-Bulk).

Results
Space-group type: P4/mmm, No. 123

Cell: 4.839 4.839 4.837 Å, 90.00 90.00 90.00°
Element x y z (fractional)
Fe: 0.000 0.000 0.000
As: 0.000 0.500 0.500
As: 0.500 0.000 0.500
W: 0.500 0.500 0.500
Se: 0.500 0.500 0.000



[2]
# ReTe2Au

ReTe2Au at its PBEsol-relaxed geometry (meta-GGA SCAN, Alexandria via LeMat-Bulk).

Results
Space-group type: Cmmm, No. 65

Cell: 4.851 4.851 3.379 Å, 90.00 90.00 99.45°
Element x y z (fractional)
Re: 0.000 0.000 0.000
Te: 0.000 0.500 0.500
Te: 0.500 0.000 0.500
Au: 0.500 0.500 0.000



[3]
# LiInRe2

LiInRe2 at its PBEsol-relaxed geometry (meta-GGA SCAN, Alexandria via LeMat-Bulk).

Results
Space-group type: P4/mmm, No. 123

Cell: 3.682 3.682 4.513 Å, 90.00 90.00 90.00°
Element x y z (fractional)
Li: 0.000 0.000 0.000
In: 0.500 0.500 0.000
Re: 0.000 0.500 0.500
Re: 0.500 0.000 0.500



[4]
# InPbCl2

InPbCl2 at its PBEsol-relaxed geometry (meta-GGA SCAN, Alexandria via LeMat-Bulk).

Results
Space-group type: Imm2, No. 44

Cell: 7.188 7.188 7.188 Å, 151.79 141.35 48.53°
Element x y z (fractional)
In: 0.000 0.000 0.000
Pb: 0.216 0.716 0.500
Cl: 0.407 0.407 0.000
Cl: 0.683 0.183 0.500



[5]
# Li5Cu4P6

Li5Cu4P6 at its PBEsol-relaxed geometry (meta-GGA SCAN, Alexandria via LeMat-Bulk).

Results
Space-group type: Immm, No. 71

Cell: 7.825 7.825 7.825 Å, 151.77 112.88 74.35°
Element x y z (fractional)
Li: 0.000 0.000 0.000
Li: 0.277 0.277 0.000
Li: 0.328 0.500 0.828
Li: 0.672 0.500 0.172
Li: 0.723 0.723 0.000
Cu: 0.093 0.826 0.268
Cu: 0.442 0.174 0.268
Cu: 0.558 0.826 0.732
Cu: 0.907 0.174 0.732
P: 0.023 0.648 0.375
P: 0.273 0.648 0.625
P: 0.413 0.913 0.500
P: 0.587 0.087 0.500
P: 0.727 0.352 0.375
P: 0.977 0.352 0.625



[6]
# CdSbAs

CdSbAs at its PBEsol-relaxed geometry (meta-GGA SCAN, Alexandria via LeMat-Bulk).

Results
Space-group type: F-43m, No. 216

Cell: 4.807 4.807 4.807 Å, 60.00 60.00 60.00°
Element x y z (fractional)
Cd: 0.000 0.000 0.000
Sb: 0.500 0.500 0.500
As: 0.250 0.250 0.250



[7]
# LaZnNF2

LaZnNF2 at its PBEsol-relaxed geometry (meta-GGA SCAN, Alexandria via LeMat-Bulk).

Results
Space-group type: P4/mmm, No. 123

Cell: 4.543 4.543 4.744 Å, 90.00 90.00 90.00°
Element x y z (fractional)
La: 0.000 0.000 0.000
Zn: 0.500 0.500 0.500
N: 0.000 0.000 0.500
F: 0.000 0.500 0.000
F: 0.500 0.000 0.000



[8]
# MgZn7O8

MgZn7O8 at its PBEsol-relaxed geometry (meta-GGA SCAN, Alexandria via LeMat-Bulk).

Results
Space-group type: P3m1, No. 156

Cell: 6.483 6.483 5.216 Å, 90.00 90.00 120.00°
Element x y z (fractional)
Mg: 0.000 0.000 0.000
Zn: 0.333 0.667 0.498
Zn: 0.334 0.167 0.500
Zn: 0.501 0.002 0.998
Zn: 0.501 0.499 0.998
Zn: 0.833 0.167 0.500
Zn: 0.833 0.666 0.500
Zn: 0.998 0.499 0.998
O: 0.000 0.000 0.380
O: 0.000 0.500 0.378
O: 0.332 0.166 0.880
O: 0.333 0.667 0.879
O: 0.500 0.000 0.378
O: 0.500 0.500 0.378
O: 0.834 0.166 0.880
O: 0.834 0.668 0.880



[9]
# Zr2CdRh

Zr2CdRh at its PBEsol-relaxed geometry (meta-GGA SCAN, Alexandria via LeMat-Bulk).

Results
Space-group type: P2/m, No. 10

Cell: 3.277 3.279 7.070 Å, 90.00 90.11 90.00°
Element x y z (fractional)
Zr: 0.001 0.000 0.277
Zr: 0.999 0.000 0.723
Cd: 0.500 0.500 0.000
Rh: 0.500 0.500 0.500



[10]
# Al2CrCd

Al2CrCd at its PBEsol-relaxed geometry (meta-GGA SCAN, Alexandria via LeMat-Bulk).

Results
Space-group type: P4/mmm, No. 123

Cell: 2.906 2.906 7.635 Å, 90.00 90.00 90.00°
Element x y z (fractional)
Al: 0.000 0.000 0.203
Al: 0.000 0.000 0.797
Cr: 0.500 0.500 0.000
Cd: 0.500 0.500 0.500



[11]
# Re2SiAu

Re2SiAu at its PBEsol-relaxed geometry (meta-GGA SCAN, Alexandria via LeMat-Bulk).

Results
Space-group type: Immm, No. 71

Cell: 5.404 5.404 5.404 Å, 149.13 132.52 57.72°
Element x y z (fractional)
Re: 0.209 0.209 0.000
Re: 0.791 0.791 0.000
Si: 0.000 0.500 0.500
Au: 0.500 0.000 0.500



[12]
# BAs2SI

BAs2SI at its PBEsol-relaxed geometry (meta-GGA SCAN, Alexandria via LeMat-Bulk).

Results
Space-group type: P4/mmm, No. 123

Cell: 4.697 4.697 4.025 Å, 90.00 90.00 90.00°
Element x y z (fractional)
B: 0.000 0.000 0.000
As: 0.000 0.500 0.000
As: 0.500 0.000 0.000
S: 0.000 0.000 0.500
I: 0.500 0.500 0.500



[13]
# KAu2Cl

KAu2Cl at its PBEsol-relaxed geometry (meta-GGA SCAN, Alexandria via LeMat-Bulk).

Results
Space-group type: Fm-3m, No. 225

Cell: 5.035 5.035 5.035 Å, 60.00 60.00 60.00°
Element x y z (fractional)
K: 0.000 0.000 0.000
Au: 0.250 0.250 0.250
Au: 0.750 0.750 0.750
Cl: 0.500 0.500 0.500



[14]
# ZnTeMo2

ZnTeMo2 at its PBEsol-relaxed geometry (meta-GGA SCAN, Alexandria via LeMat-Bulk).

Results
Space-group type: Pm, No. 6

Cell: 3.116 4.607 5.094 Å, 90.00 104.87 90.00°
Element x y z (fractional)
Zn: 0.000 0.000 0.000
Te: 0.651 0.500 0.742
Mo: 0.644 0.000 0.439
Mo: 0.982 0.500 0.302



[15]
# CaBiO2F

CaBiO2F at its PBEsol-relaxed geometry (meta-GGA SCAN, Alexandria via LeMat-Bulk).

Results
Space-group type: P4/mmm, No. 123

Cell: 4.353 4.353 4.032 Å, 90.00 90.00 90.00°
Element x y z (fractional)
Ca: 0.000 0.000 0.000
Bi: 0.500 0.500 0.500
O: 0.000 0.500 0.000
O: 0.500 0.000 0.000
F: 0.000 0.000 0.500



[16]
# CaBeNF2

CaBeNF2 at its PBEsol-relaxed geometry (meta-GGA SCAN, Alexandria via LeMat-Bulk).

Results
Space-group type: P4/mmm, No. 123

Cell: 3.646 3.646 3.635 Å, 90.00 90.00 90.00°
Element x y z (fractional)
Ca: 0.000 0.000 0.000
Be: 0.500 0.500 0.500
N: 0.500 0.500 0.000
F: 0.000 0.500 0.500
F: 0.500 0.000 0.500



[17]
# ScCo2Se

ScCo2Se at its PBEsol-relaxed geometry (meta-GGA SCAN, Alexandria via LeMat-Bulk).

Results
Space-group type: Pm, No. 6

Cell: 3.289 3.755 4.913 Å, 90.00 109.12 90.00°
Element x y z (fractional)
Sc: 0.000 0.000 0.000
Co: 0.326 0.500 0.656
Co: 0.736 0.000 0.491
Se: 0.598 0.500 0.199



[18]
# CdSeF2

CdSeF2 at its PBEsol-relaxed geometry (meta-GGA SCAN, Alexandria via LeMat-Bulk).

Results
Space-group type: R-3m, No. 166

Cell: 8.498 8.498 8.498 Å, 19.47 19.47 19.47°
Element x y z (fractional)
Cd: 0.000 0.000 0.000
Se: 0.500 0.500 0.500
F: 0.094 0.094 0.094
F: 0.906 0.906 0.906



[19]
# LaInPb2

LaInPb2 at its PBEsol-relaxed geometry (meta-GGA SCAN, Alexandria via LeMat-Bulk).

Results
Space-group type: F-43m, No. 216

Cell: 5.493 5.493 5.493 Å, 60.00 60.00 60.00°
Element x y z (fractional)
La: 0.000 0.000 0.000
In: 0.250 0.250 0.250
Pb: 0.500 0.500 0.500
Pb: 0.750 0.750 0.750



[20]
# ZrCu2Re

ZrCu2Re at its PBEsol-relaxed geometry (meta-GGA SCAN, Alexandria via LeMat-Bulk).

Results
Space-group type: Pmmm, No. 47

Cell: 2.726 3.832 5.550 Å, 90.00 90.00 90.00°
Element x y z (fractional)
Zr: 0.000 0.000 0.000
Cu: 0.500 0.500 0.279
Cu: 0.500 0.500 0.721
Re: 0.000 0.000 0.500



Values for energy, eV/atom, ordered as above
-28.721 -52.793 -44.138 -31.925 -9.514 -29.053 -16.138 -11.118 -31.904 -16.127 -55.149 -17.957 -38.467 -29.684 -22.493 -8.223 -17.638 -15.037 -57.363 -32.965